A plane-wave DFT calculation with PBE was carried out for a geometry-optimized Rb2NbF structure.

Cell and atoms, written as POSCAR:
```
Rb2NbF
1.0
-4.807 1.049 3.265
-5.095 1.427 -2.620
-4.484 -3.842 -0.027
Rb Nb F
2 1 1
direct
0.250 0.250 0.250
0.750 0.750 0.750
0.500 0.500 0.500
0.000 0.000 0.000
```

For the calculated density, the calculation gives 3.23 g/cm3. Its space group is Fm-3m (225). Its energy above the most stable polymorph in this dataset is 1.439 eV/f.u. The formation energy without anion corrections comes out at 0.385 eV/atom. The crystal system is cubic.

---

A plane-wave DFT calculation with PBE was carried out for a geometry-optimized RbNb2F structure.

Cell and atoms, written as POSCAR:
```
RbNb2F
1.0
0.000 3.401 3.401
3.401 0.000 3.401
3.401 3.401 0.000
Rb F Nb
1 1 2
direct
0.500 0.500 0.500
0.000 0.000 0.000
0.250 0.250 0.250
0.750 0.750 0.750
```

For the calculated density, the calculation gives 6.13 g/cm3. Its space group is Fm-3m (225). Its energy above the most stable polymorph in this dataset is 3.811 eV/f.u. The formation energy without anion corrections comes out at 1.660 eV/atom. The crystal system is cubic.

---

A plane-wave DFT calculation with PBE was carried out for a geometry-optimized RbNbF2 structure.

Cell and atoms, written as POSCAR:
```
RbNbF2
1.0
0.000 3.328 3.328
3.328 0.000 3.328
3.328 3.328 0.000
Rb Nb F
1 1 2
direct
0.000 0.000 0.000
0.500 0.500 0.500
0.750 0.750 0.750
0.250 0.250 0.250
```

For the calculated density, the calculation gives 4.87 g/cm3. Its space group is Fm-3m (225). Its energy above the most stable polymorph in this dataset is 3.766 eV/f.u. The formation energy without anion corrections comes out at -0.769 eV/atom. The crystal system is cubic.

---

A plane-wave DFT calculation with PBE was carried out for a geometry-optimized Rb2NbF structure.

Cell and atoms, written as POSCAR:
```
Rb2NbF
1.0
8.306 0.000 0.000
0.000 8.306 0.000
4.153 4.153 4.875
Rb F Nb
4 2 2
direct
0.244 0.625 0.250
0.375 0.494 0.750
0.506 0.125 0.250
0.875 0.756 0.750
0.500 0.500 0.000
0.250 0.750 0.500
0.750 0.250 0.500
0.000 0.000 0.000
```

For the calculated density, the calculation gives 2.79 g/cm3. Its space group is I-42d (122). Its energy above the most stable polymorph in this dataset is 0.000 eV/f.u. The formation energy without anion corrections comes out at 0.025 eV/atom. The crystal system is tetragonal.

---

A plane-wave DFT calculation with PBE was carried out for a geometry-optimized RbNb2F structure.

Cell and atoms, written as POSCAR:
```
RbNb2F
1.0
-5.231 -4.113 -1.120
1.297 -3.225 5.784
-4.859 -0.628 4.676
Nb F Rb
4 2 2
direct
0.375 0.625 0.250
0.875 0.625 0.750
0.375 0.125 0.250
0.375 0.625 0.750
0.500 0.500 0.000
0.250 0.750 0.500
0.750 0.250 0.500
0.000 0.000 0.000
```

For the calculated density, the calculation gives 4.40 g/cm3. Its space group is I4_1/amd (141). Its energy above the most stable polymorph in this dataset is 0.000 eV/f.u. The formation energy without anion corrections comes out at 0.707 eV/atom. The crystal system is tetragonal.

---

A plane-wave DFT calculation with PBE was carried out for a geometry-optimized RbNbF2 structure.

Cell and atoms, written as POSCAR:
```
RbNbF2
1.0
6.667 0.000 0.000
0.000 6.667 0.000
3.333 3.333 3.913
Rb F Nb
2 4 2
direct
0.500 0.500 0.000
0.250 0.750 0.500
0.375 0.313 0.750
0.875 0.937 0.750
0.063 0.625 0.250
0.687 0.125 0.250
0.750 0.250 0.500
0.000 0.000 0.000
```

For the calculated density, the calculation gives 4.13 g/cm3. Its space group is I-42d (122). Its energy above the most stable polymorph in this dataset is 1.961 eV/f.u. The formation energy without anion corrections comes out at -1.221 eV/atom. The crystal system is tetragonal.

---

A plane-wave DFT calculation with PBE was carried out for a geometry-optimized RbNbF2 structure.

Cell and atoms, written as POSCAR:
```
RbNbF2
1.0
1.920 0.000 7.842
-0.960 1.663 7.842
-0.960 -1.663 7.842
F Rb Nb
2 1 1
direct
0.912 0.912 0.912
0.088 0.088 0.088
0.500 0.500 0.500
0.000 0.000 0.000
```

For the calculated density, the calculation gives 4.78 g/cm3. Its space group is R-3m (166). Its energy above the most stable polymorph in this dataset is 0.000 eV/f.u. The formation energy without anion corrections comes out at -1.711 eV/atom. The crystal system is trigonal.

---

A plane-wave DFT calculation with PBE was carried out for a geometry-optimized Rb3NbF8 structure.

Cell and atoms, written as POSCAR:
```
Rb3NbF8
1.0
6.076 0.000 0.000
0.000 6.076 0.000
0.000 0.000 6.076
F Rb Nb
8 3 1
direct
0.197 0.803 0.197
0.803 0.197 0.803
0.197 0.197 0.803
0.197 0.197 0.197
0.803 0.803 0.197
0.803 0.197 0.197
0.197 0.803 0.803
0.803 0.803 0.803
0.500 0.500 0.000
0.500 0.000 0.500
0.000 0.500 0.500
0.000 0.000 0.000
```

For the calculated density, the calculation gives 3.71 g/cm3. Its space group is Pm-3m (221). The formation energy without anion corrections comes out at -2.906 eV/atom. The crystal system is cubic.